No. 1
A plane-wave DFT calculation with GGA-PBE was carried out for an optimized crystal structure of HoEr2Cu4Si4.

* symmetry: Immm (71)
* uncorrected energy: -5.21 eV/atom
* total magnetic moment: 0.002 μB/cell

a = 7.812 Å, b = 7.812 Å, c = 7.812 Å
α = 149.61°, β = 130.66°, γ = 59.06°
Fractional coordinates of all 11 atoms:
Ho1 0.000 0.000 0.000
Er1 0.371 0.871 0.500
Er2 0.629 0.129 0.500
Cu1 0.022 0.331 0.692
Cu2 0.361 0.669 0.692
Cu3 0.639 0.331 0.308
Cu4 0.978 0.669 0.308
Si1 0.217 0.217 0.000
Si2 0.315 0.500 0.815
Si3 0.685 0.500 0.185
Si4 0.783 0.783 0.000



No. 2
A plane-wave DFT calculation with GGA-PBE was carried out for an optimized crystal structure of Ho2ErCu4Si2Sn2.

* symmetry: Immm (71)
* uncorrected energy: -4.90 eV/atom
* total magnetic moment: 0.002 μB/cell

a = 8.160 Å, b = 8.160 Å, c = 8.160 Å
α = 149.43°, β = 132.14°, γ = 57.86°
Fractional coordinates of all 11 atoms:
Ho1 0.124 0.124 0.000
Ho2 0.876 0.876 0.000
Er1 0.500 0.000 0.500
Cu1 0.156 0.346 0.810
Cu2 0.464 0.654 0.810
Cu3 0.536 0.346 0.190
Cu4 0.844 0.654 0.190
Si1 0.182 0.500 0.682
Si2 0.818 0.500 0.318
Sn1 0.282 0.782 0.500
Sn2 0.718 0.218 0.500



No. 3
A plane-wave DFT calculation with GGA-PBE was carried out for an optimized crystal structure of HoErCu2Sn.

* symmetry: Amm2 (38)
* uncorrected energy: -4.59 eV/atom
* total magnetic moment: 0.012 μB/cell

a = 3.597 Å, b = 7.156 Å, c = 7.156 Å
α = 34.22°, β = 90.00°, γ = 90.00°
Fractional coordinates of all 5 atoms:
Ho1 0.000 0.000 0.000
Er1 0.000 0.263 0.263
Cu1 0.500 0.430 0.430
Cu2 0.500 0.832 0.832
Sn1 0.500 0.632 0.632



No. 4
A plane-wave DFT calculation with GGA-PBE was carried out for an optimized crystal structure of HoEr2Cu4Sn4.

* symmetry: Immm (71)
* uncorrected energy: -4.55 eV/atom
* total magnetic moment: 0.001 μB/cell

a = 8.394 Å, b = 8.394 Å, c = 8.394 Å
α = 149.39°, β = 131.16°, γ = 58.74°
Fractional coordinates of all 11 atoms:
Ho1 0.000 0.000 0.000
Er1 0.369 0.869 0.500
Er2 0.631 0.131 0.500
Cu1 0.018 0.329 0.689
Cu2 0.361 0.671 0.689
Cu3 0.639 0.329 0.311
Cu4 0.982 0.671 0.311
Sn1 0.216 0.216 0.000
Sn2 0.297 0.500 0.797
Sn3 0.703 0.500 0.203
Sn4 0.784 0.784 0.000



No. 5
A plane-wave DFT calculation with GGA-PBE was carried out for an optimized crystal structure of HoErCu2Sn2.

* symmetry: P3m1 (156)
* uncorrected energy: -4.69 eV/atom
* total magnetic moment: 0.002 μB/cell

a = 4.521 Å, b = 4.521 Å, c = 7.149 Å
α = 90.00°, β = 90.00°, γ = 120.00°
Fractional coordinates of all 6 atoms:
Ho1 0.000 0.000 0.000
Er1 0.000 0.000 0.500
Cu1 0.333 0.667 0.321
Cu2 0.667 0.333 0.818
Sn1 0.333 0.667 0.730
Sn2 0.667 0.333 0.231



No. 6
A plane-wave DFT calculation with GGA-PBE was carried out for an optimized crystal structure of HoEr3Tm2CuTe2.

* symmetry: Amm2 (38)
* uncorrected energy: -4.75 eV/atom
* total magnetic moment: 0.039 μB/cell

a = 3.897 Å, b = 8.348 Å, c = 8.348 Å
α = 119.91°, β = 90.00°, γ = 90.00°
Fractional coordinates of all 9 atoms:
Ho1 0.000 0.000 0.000
Er1 0.500 0.160 0.404
Er2 0.500 0.404 0.160
Er3 0.500 0.646 0.646
Tm1 0.000 0.403 0.805
Tm2 0.000 0.805 0.403
Cu1 0.000 0.404 0.404
Te1 0.500 0.070 0.736
Te2 0.500 0.736 0.070



No. 7
A plane-wave DFT calculation with GGA-PBE was carried out for an optimized crystal structure of HoEr2Tm3CuTe2.

* symmetry: Amm2 (38)
* uncorrected energy: -4.75 eV/atom
* total magnetic moment: 0.051 μB/cell

a = 3.901 Å, b = 8.323 Å, c = 8.323 Å
α = 119.97°, β = 90.00°, γ = 90.00°
Fractional coordinates of all 9 atoms:
Ho1 0.000 0.000 0.000
Er1 0.000 0.402 0.804
Er2 0.000 0.804 0.402
Tm1 0.500 0.160 0.402
Tm2 0.500 0.402 0.160
Tm3 0.500 0.644 0.644
Cu1 0.000 0.403 0.403
Te1 0.500 0.069 0.735
Te2 0.500 0.735 0.069



No. 8
A plane-wave DFT calculation with GGA-PBE was carried out for an optimized crystal structure of Ho2Er3TmCuTe2.

* symmetry: Amm2 (38)
* uncorrected energy: -4.77 eV/atom
* total magnetic moment: 0.020 μB/cell

a = 3.905 Å, b = 8.363 Å, c = 8.363 Å
α = 120.10°, β = 90.00°, γ = 90.00°
Fractional coordinates of all 9 atoms:
Ho1 0.000 0.201 0.799
Ho2 0.000 0.799 0.201
Er1 0.500 0.042 0.042
Er2 0.500 0.556 0.798
Er3 0.500 0.798 0.556
Tm1 0.000 0.397 0.397
Cu1 0.000 0.798 0.798
Te1 0.500 0.132 0.465
Te2 0.500 0.465 0.132



No. 9
A plane-wave DFT calculation with GGA-PBE was carried out for an optimized crystal structure of Y2HoEr3CuTe2.

* symmetry: Amm2 (38)
* uncorrected energy: -5.23 eV/atom
* total magnetic moment: 0.132 μB/cell

a = 3.938 Å, b = 8.360 Å, c = 8.360 Å
α = 120.06°, β = 90.00°, γ = 90.00°
Fractional coordinates of all 9 atoms:
Y1 0.000 0.201 0.799
Y2 0.000 0.799 0.201
Ho1 0.000 0.396 0.396
Er1 0.500 0.040 0.040
Er2 0.500 0.557 0.798
Er3 0.500 0.798 0.557
Cu1 0.000 0.799 0.799
Te1 0.500 0.132 0.465
Te2 0.500 0.465 0.132



No. 10
A plane-wave DFT calculation with GGA-PBE was carried out for an optimized crystal structure of YHo2Er3CuTe2.

* symmetry: Amm2 (38)
* uncorrected energy: -5.01 eV/atom
* total magnetic moment: 0.154 μB/cell

a = 3.933 Å, b = 8.362 Å, c = 8.362 Å
α = 119.92°, β = 90.00°, γ = 90.00°
Fractional coordinates of all 9 atoms:
Y1 0.000 0.000 0.000
Ho1 0.000 0.403 0.806
Ho2 0.000 0.806 0.403
Er1 0.500 0.161 0.403
Er2 0.500 0.403 0.161
Er3 0.500 0.645 0.645
Cu1 0.000 0.403 0.403
Te1 0.500 0.070 0.736
Te2 0.500 0.736 0.070



No. 11
A plane-wave DFT calculation with GGA-PBE was carried out for an optimized crystal structure of ErInCu4.

* symmetry: F-43m (216)
* uncorrected energy: -3.98 eV/atom
* total magnetic moment: 0.000 μB/cell

a = 5.085 Å, b = 5.085 Å, c = 5.085 Å
α = 60.00°, β = 60.00°, γ = 60.00°
Fractional coordinates of all 6 atoms:
Er1 0.000 0.000 0.000
In1 0.750 0.750 0.750
Cu1 0.375 0.375 0.375
Cu2 0.375 0.375 0.874
Cu3 0.375 0.874 0.375
Cu4 0.874 0.375 0.375



No. 12
A plane-wave DFT calculation with GGA-PBE was carried out for an optimized crystal structure of Er3In3Cu2Ir.

* symmetry: P-62m (189)
* uncorrected energy: -4.72 eV/atom
* total magnetic moment: 0.010 μB/cell

a = 7.477 Å, b = 7.477 Å, c = 3.920 Å
α = 90.00°, β = 90.00°, γ = 120.00°
Fractional coordinates of all 9 atoms:
Er1 0.000 0.602 0.000
Er2 0.398 0.398 0.000
Er3 0.602 0.000 0.000
In1 0.000 0.265 0.500
In2 0.265 0.000 0.500
In3 0.735 0.735 0.500
Cu1 0.333 0.667 0.500
Cu2 0.667 0.333 0.500
Ir1 0.000 0.000 0.000



> Which formula does entry 10 have?

YHo2Er3CuTe2



> Which value of uncorrected energy does entry 7 give?

-4.75 eV/atom



> Number 9 is which compound?

Y2HoEr3CuTe2



> Which formula does entry 4 have?

HoEr2Cu4Sn4